This record from the Alexandria database describes HfNb2Os2 after structural relaxation. The functional is PBE-GGA.

extended XYZ file:
```
10
Lattice="7.5409 0.0000 0.0000 0.0000 7.5409 0.0000 0.0000 0.0000 3.1345" Properties=species:S:1:pos:R:3 pbc="T T T"
Nb 2.5321 1.2384 1.5673
Nb 5.0088 6.3025 1.5673
Nb 1.2384 5.0088 1.5673
Nb 6.3025 2.5321 1.5673
Hf 0.0000 0.0000 0.0000
Hf 3.7704 3.7704 0.0000
Os 4.7937 1.0233 0.0000
Os 2.7472 6.5176 0.0000
Os 6.5176 4.7937 0.0000
Os 1.0233 2.7472 0.0000
```

## Properties
V in Å³ per atom: 17.8
Total magnetic moment in Bohr magnetons per cell: 0.00
Symmetry: P4/mbm, No. 127
Energy of formation in meV per atom: -73
D(E_F) in states/eV per atom: 1.336